Density functional theory data (PBE-GGA) for Cu2SbPb after structural relaxation.

Cell: 3.545 3.545 6.581 Å, 90.00 90.00 90.00°
Sites, in units of the cell vectors:
Cu 0.000 0.000 0.200
Cu 0.000 0.000 0.800
Sb 0.500 0.500 0.000
Pb 0.500 0.500 0.500

## Properties
Formation energy without anion corrections: 0.998 eV per formula unit
Magnetic moment: 0.00 μB/f.u.
Calculated total energy: -3.76 eV/atom